## In4Os3 (PBE)

Data for an optimized crystal structure of In4Os3.

Unit cell a=5.3988 b=5.3988 c=5.2510 alpha=90.00 beta=90.00 gamma=120.00
Last column: nearest neighbours and their distance in Å.
Atoms (fractional coordinates):
In1 0.0000 0.0000 0.2497  2 In 2.62-2.63
In2 0.0000 0.0000 0.7503  2 In 2.62-2.63
In3 0.3333 0.6667 0.0000  6 Os 3.05, 9 In 3.12-3.38
In4 0.6667 0.3333 0.0000  6 Os 3.05, 9 In 3.12-3.38
Os1 0.0000 0.5000 0.5000  4 Os 2.70, 4 In 3.00
Os2 0.5000 0.0000 0.5000  4 Os 2.70, 4 In 3.00
Os3 0.5000 0.5000 0.5000  4 Os 2.70, 4 In 3.00

Symmetry: P6/mmm, No. 191
Crystal system: hexagonal
Volume: 132.55 Å³/cell
DFT total energy: -0.4277 Ry/atom
Total magnetization: 1.29 μB per formula unit

## InOs (PBE)

Data for an optimized crystal structure of InOs.

Unit cell a=2.8904 b=2.8904 c=10.5883 alpha=90.00 beta=90.00 gamma=120.00
Last column: nearest neighbours and their distance in Å.
Atoms (fractional coordinates):
In1 0.3333 0.6667 0.1653  6 In 2.89, 3 Os 3.03
In2 0.6667 0.3333 0.8347  6 In 2.89, 3 Os 3.03
Os1 0.3333 0.6667 0.5954  9 Os 2.62-2.89
Os2 0.6667 0.3333 0.4046  9 Os 2.62-2.89

Symmetry: P-3m1, No. 164
Crystal system: trigonal
Volume: 76.61 Å³/cell
DFT total energy: -0.4742 Ry/atom
Total magnetization: 0.00 μB per formula unit

## InOs3 (PBE)

Data for an optimized crystal structure of InOs3.

Unit cell a=2.8145 b=4.8689 c=9.4210 alpha=90.00 beta=90.00 gamma=90.00
Last column: nearest neighbours and their distance in Å.
Atoms (fractional coordinates):
In1 0.0000 0.0000 0.0000  6 In 2.81, 4 Os 2.85
In2 0.5000 0.5000 0.0000  6 In 2.81, 4 Os 2.85
Os1 0.0000 0.0000 0.5000  10 Os 2.64-2.81
Os2 0.0000 0.5000 0.2629  8 Os 2.64-2.81, 2 In 2.85
Os3 0.0000 0.5000 0.7371  8 Os 2.64-2.81, 2 In 2.85
Os4 0.5000 0.0000 0.2629  8 Os 2.64-2.81, 2 In 2.85
Os5 0.5000 0.0000 0.7371  8 Os 2.64-2.81, 2 In 2.85
Os6 0.5000 0.5000 0.5000  10 Os 2.64-2.81

Symmetry: Cmmm, No. 65
Energy above the most stable polymorph in this dataset: 0.440 eV/atom
Crystal system: orthorhombic
Volume: 129.10 Å³/cell
Total magnetization: 0.77 μB per formula unit

## InOs3 (PBE)

Data for an optimized crystal structure of InOs3.

Unit cell a=2.7977 b=3.8216 c=5.9511 alpha=90.00 beta=90.00 gamma=90.00
Last column: nearest neighbours and their distance in Å.
Atoms (fractional coordinates):
In1 0.0000 0.0000 0.0000  2 In 2.80, 10 Os 2.89-2.98
Os1 0.0000 0.0000 0.5000  10 Os 2.71-2.80, 2 In 2.98
Os2 0.5000 0.5000 0.2788  7 Os 2.63-2.80, 4 In 2.89
Os3 0.5000 0.5000 0.7212  7 Os 2.63-2.80, 4 In 2.89

Symmetry: Pmmm, No. 47
Energy above the most stable polymorph in this dataset: 0.122 eV/atom
Crystal system: orthorhombic
Volume: 63.63 Å³/cell
Total magnetization: 0.00 μB per formula unit

## InOs3 (PBE)

Data for an optimized crystal structure of InOs3.

Unit cell a=2.8148 b=2.8148 c=27.4806 alpha=90.00 beta=90.00 gamma=120.00
Last column: nearest neighbours and their distance in Å.
Atoms (fractional coordinates):
In1 0.0000 0.0000 0.0000  6 In 2.81, 6 Os 2.93
In2 0.3333 0.6667 0.6667  6 In 2.81, 6 Os 2.93
In3 0.6667 0.3333 0.3333  6 In 2.81, 6 Os 2.93
Os1 0.0000 0.0000 0.2447  9 Os 2.69-2.81, 3 In 2.93
Os2 0.0000 0.0000 0.5000  12 Os 2.69-2.81
Os3 0.0000 0.0000 0.7553  9 Os 2.69-2.81, 3 In 2.93
Os4 0.3333 0.6667 0.1667  12 Os 2.69-2.81
Os5 0.3333 0.6667 0.4220  9 Os 2.69-2.81, 3 In 2.93
Os6 0.3333 0.6667 0.9113  9 Os 2.69-2.81, 3 In 2.93
Os7 0.6667 0.3333 0.0887  9 Os 2.69-2.81, 3 In 2.93
Os8 0.6667 0.3333 0.5780  9 Os 2.69-2.81, 3 In 2.93
Os9 0.6667 0.3333 0.8333  12 Os 2.69-2.81

Symmetry: R-3m, No. 166
Energy above the most stable polymorph in this dataset: 0.077 eV/atom
Crystal system: trigonal
Volume: 188.56 Å³/cell
Total magnetization: 0.00 μB per formula unit

## In3Os (PBE)

Data for an optimized crystal structure of In3Os.

Unit cell a=3.4102 b=4.0910 c=5.7797 alpha=90.00 beta=90.00 gamma=90.00
Last column: nearest neighbours and their distance in Å.
Atoms (fractional coordinates):
In1 0.0000 0.0000 0.0000  2 Os 2.89, 8 In 3.07
In2 0.5000 0.5000 0.2658  1 In 2.71, 4 Os 2.99
In3 0.5000 0.5000 0.7342  1 In 2.71, 4 Os 2.99
Os1 0.0000 0.0000 0.5000  10 In 2.89-2.99

Symmetry: Pmmm, No. 47
Crystal system: orthorhombic
Volume: 80.63 Å³/cell
DFT total energy: -0.3247 Ry/atom
Total magnetization: 0.00 μB per formula unit

## InOs3 (PBE)

Data for an optimized crystal structure of InOs3.

Unit cell a=9.2366 b=2.8221 c=4.9081 alpha=90.00 beta=99.69 gamma=90.00
Last column: nearest neighbours and their distance in Å.
Atoms (fractional coordinates):
In1 0.0000 0.0000 0.0000  10 Os 2.77-2.92, 2 In 2.82
In2 0.5000 0.5000 0.0000  10 Os 2.77-2.92, 2 In 2.82
Os1 0.0000 0.5000 0.5000  8 Os 2.69-2.82, 4 In 2.83
Os2 0.2388 0.0000 0.7245  7 Os 2.65-2.82, 3 In 2.77-2.92
Os3 0.2612 0.5000 0.2755  7 Os 2.65-2.82, 3 In 2.77-2.92
Os4 0.5000 0.0000 0.5000  8 Os 2.69-2.82, 4 In 2.83
Os5 0.7388 0.5000 0.7245  7 Os 2.65-2.82, 3 In 2.77-2.92
Os6 0.7612 0.0000 0.2755  7 Os 2.65-2.82, 3 In 2.77-2.92

Symmetry: C2/m, No. 12
Energy above the most stable polymorph in this dataset: 0.125 eV/atom
Crystal system: monoclinic
Volume: 126.11 Å³/cell
Total magnetization: 0.00 μB per formula unit

## In2Os (PBE)

Data for an optimized crystal structure of In2Os.

Unit cell a=11.6038 b=3.0542 c=7.6063 alpha=90.00 beta=116.39 gamma=90.00
Last column: nearest neighbours and their distance in Å.
Atoms (fractional coordinates):
In1 0.0534 0.0000 0.2373  4 Os 2.82-2.92, 3 In 3.04-3.05
In2 0.1598 0.5000 0.6463  3 Os 2.82-2.91, 3 In 3.04-3.05
In3 0.3402 0.0000 0.3537  3 Os 2.82-2.91, 3 In 3.04-3.05
In4 0.4466 0.5000 0.7627  4 Os 2.82-2.92, 3 In 3.04-3.05
In5 0.5534 0.5000 0.2373  4 Os 2.82-2.92, 3 In 3.04-3.05
In6 0.6598 0.0000 0.6463  3 Os 2.82-2.91, 3 In 3.04-3.05
In7 0.8402 0.5000 0.3537  3 Os 2.82-2.91, 3 In 3.04-3.05
In8 0.9466 0.0000 0.7627  4 Os 2.82-2.92, 3 In 3.04-3.05
Os1 0.1605 0.5000 0.0178  2 Os 2.69, 7 In 2.82-2.92
Os2 0.3395 0.0000 0.9822  2 Os 2.69, 7 In 2.82-2.92
Os3 0.6605 0.0000 0.0178  2 Os 2.69, 7 In 2.82-2.92
Os4 0.8395 0.5000 0.9822  2 Os 2.69, 7 In 2.82-2.92

Symmetry: C2/m, No. 12
Crystal system: monoclinic
Volume: 241.47 Å³/cell
DFT total energy: -0.3824 Ry/atom
Total magnetization: 0.00 μB per formula unit

## InOs3 (PBE)

Data for an optimized crystal structure of InOs3.

Unit cell a=5.6932 b=5.6932 c=4.4740 alpha=90.00 beta=90.00 gamma=120.00
Last column: nearest neighbours and their distance in Å.
Atoms (fractional coordinates):
In1 0.3333 0.6667 0.2500  12 Os 2.78-2.85
In2 0.6667 0.3333 0.7500  12 Os 2.78-2.85
Os1 0.1655 0.3310 0.7500  8 Os 2.77-2.87, 4 In 2.78-2.85
Os2 0.1655 0.8345 0.7500  8 Os 2.77-2.87, 4 In 2.78-2.85
Os3 0.3310 0.1655 0.2500  8 Os 2.77-2.87, 4 In 2.78-2.85
Os4 0.6690 0.8345 0.7500  8 Os 2.77-2.87, 4 In 2.78-2.85
Os5 0.8345 0.1655 0.2500  8 Os 2.77-2.87, 4 In 2.78-2.85
Os6 0.8345 0.6690 0.2500  8 Os 2.77-2.87, 4 In 2.78-2.85

Symmetry: P6_3/mmc, No. 194
Energy above the most stable polymorph in this dataset: 0.318 eV/atom
Crystal system: hexagonal
Volume: 125.58 Å³/cell
Total magnetization: 0.00 μB per formula unit

## In3Os (PBE)

Data for an optimized crystal structure of In3Os.

Unit cell a=4.2950 b=4.2950 c=4.2950 alpha=90.00 beta=90.00 gamma=90.00
Last column: nearest neighbours and their distance in Å.
Atoms (fractional coordinates):
In1 0.0000 0.0000 0.5000  8 In 3.04, 4 Os 3.04
In2 0.0000 0.5000 0.0000  8 In 3.04, 4 Os 3.04
In3 0.5000 0.0000 0.0000  8 In 3.04, 4 Os 3.04
Os1 0.5000 0.5000 0.5000  12 In 3.04

Symmetry: Pm-3m, No. 221
Crystal system: cubic
Volume: 79.23 Å³/cell
DFT total energy: -0.3151 Ry/atom
Total magnetization: 0.00 μB per formula unit

## InOs2 (PBE)

Data for an optimized crystal structure of InOs2.

Unit cell a=6.2897 b=6.2897 c=6.2897 alpha=90.00 beta=90.00 gamma=90.00
Last column: nearest neighbours and their distance in Å.
Atoms (fractional coordinates):
In1 0.0000 0.0000 0.0000  6 Os 2.66
In2 0.0000 0.5000 0.5000  6 Os 2.66
In3 0.5000 0.0000 0.5000  6 Os 2.66
In4 0.5000 0.5000 0.0000  6 Os 2.66
Os1 0.1044 0.6044 0.8956  1 Os 2.28
Os2 0.1044 0.8956 0.3956  1 Os 2.28
Os3 0.3956 0.1044 0.8956  1 Os 2.28
Os4 0.3956 0.3956 0.3956  1 Os 2.28
Os5 0.6044 0.6044 0.6044  1 Os 2.28
Os6 0.6044 0.8956 0.1044  1 Os 2.28
Os7 0.8956 0.1044 0.6044  1 Os 2.28
Os8 0.8956 0.3956 0.1044  1 Os 2.28

Symmetry: Pa-3, No. 205
Crystal system: cubic
Volume: 248.82 Å³/cell
DFT total energy: -0.4897 Ry/atom
Total magnetization: 0.00 μB per formula unit

## In3Os (PBE)

Data for an optimized crystal structure of In3Os.

Unit cell a=3.0195 b=4.6009 c=13.2166 alpha=90.00 beta=90.00 gamma=90.00
Last column: nearest neighbours and their distance in Å.
Atoms (fractional coordinates):
In1 0.0000 0.0000 0.0000  4 Os 2.75, 2 In 3.02
In2 0.0000 0.5000 0.1825  2 Os 2.85, 2 In 3.02
In3 0.0000 0.5000 0.8175  2 Os 2.85, 2 In 3.02
In4 0.5000 0.0000 0.3175  2 Os 2.85, 2 In 3.02
In5 0.5000 0.0000 0.6825  2 Os 2.85, 2 In 3.02
In6 0.5000 0.5000 0.5000  4 Os 2.75, 2 In 3.02
Os1 0.0000 0.0000 0.5000  8 In 2.75-2.85, 2 Os 3.02
Os2 0.5000 0.5000 0.0000  8 In 2.75-2.85, 2 Os 3.02

Symmetry: Immm, No. 71
Crystal system: orthorhombic
Volume: 183.61 Å³/cell
DFT total energy: -0.3376 Ry/atom
Total magnetization: 0.00 μB per formula unit

- Look up the volume of the third one.
  129.10 Å³/cell

- Number 10 is which compound?
  In3Os